[1]
Computed, not measured: crystalline AcHo6Er3 at its relaxed geometry at the GGA-PBE level of DFT.

Geometry as CIF:
```
data_AcHo6Er3
_cell_length_a 9.7720
_cell_length_b 9.7720
_cell_length_c 12.0620
_cell_angle_alpha 90.00
_cell_angle_beta 90.00
_cell_angle_gamma 120.00
_space_group_name_H-M_alt 'R 3 2'
_space_group_IT_number 155
_space_group_name_Hall 'R 3 2"'
loop_
_atom_site_label
_atom_site_type_symbol
_atom_site_fract_x
_atom_site_fract_y
_atom_site_fract_z
_atom_site_occupancy
Ac1 Ac 0.0000 0.0000 0.0000 1
Ho1 Ho 0.0000 0.3489 0.0000 1
Ho2 Ho 0.0000 0.6636 0.5000 1
Er1 Er 0.0000 0.0000 0.2614 1
Er2 Er 0.0000 0.0000 0.5000 1
```

[2]
# AcHo2Er | the Alexandria database | GGA-PBE | optimized geometry
data_AcHo2Er
_cell_length_a 3.5566
_cell_length_b 3.5566
_cell_length_c 37.7867
_cell_angle_alpha 90.00
_cell_angle_beta 90.00
_cell_angle_gamma 120.00
_space_group_name_H-M_alt 'R -3 m'
_space_group_IT_number 166
_space_group_name_Hall '-R 3 2"'
loop_
_atom_site_label
_atom_site_type_symbol
_atom_site_fract_x
_atom_site_fract_y
_atom_site_fract_z
_atom_site_occupancy
Ac1 Ac 0.0000 0.0000 0.0000 1
Ho1 Ho 0.0000 0.0000 0.0930 1
Er1 Er 0.0000 0.0000 0.5000 1
# Offset from the most stable computed form, kJ/mol of atoms: 13.7

[3]
# AcHo2Er | the Alexandria database | GGA-PBE | optimized geometry
data_AcHo2Er
_cell_length_a 8.193
_cell_length_b 8.193
_cell_length_c 8.193
_cell_angle_alpha 90.00
_cell_angle_beta 90.00
_cell_angle_gamma 90.00
_space_group_name_H-M_alt 'F m -3 m'
_space_group_IT_number 225
_space_group_name_Hall '-F 4 2 3'
loop_
_atom_site_label
_atom_site_type_symbol
_atom_site_fract_x
_atom_site_fract_y
_atom_site_fract_z
_atom_site_occupancy
Ac1 Ac 0.000 0.000 0.000 1
Ho1 Ho 0.250 0.250 0.250 1
Er1 Er 0.000 0.000 0.500 1
# Offset from the most stable computed form, kJ/mol of atoms: 8.9

[4]
# Ac2Ho5Er12 | the Alexandria database | GGA-PBE | optimized geometry
data_Ac2Ho5Er12
_cell_length_a 20.312
_cell_length_b 6.964
_cell_length_c 10.499
_cell_angle_alpha 90.00
_cell_angle_beta 114.91
_cell_angle_gamma 90.00
_space_group_name_H-M_alt 'C 1 2/m 1'
_space_group_IT_number 12
loop_
_space_group_symop_operation_xyz
'x,y,z'
'-x,-y,-z'
'-x,y,-z'
'x,-y,z'
'x+1/2,y+1/2,z'
'-x+1/2,-y+1/2,-z'
'-x+1/2,y+1/2,-z'
'x+1/2,-y+1/2,z'
loop_
_atom_site_label
_atom_site_type_symbol
_atom_site_fract_x
_atom_site_fract_y
_atom_site_fract_z
_atom_site_occupancy
Ac1 Ac 0.000 0.243 0.000 1
Ho1 Ho 0.000 0.500 0.500 1
Ho2 Ho 0.131 0.000 0.782 1
Ho3 Ho 0.154 0.000 0.286 1
Er1 Er 0.038 0.000 0.400 1
Er2 Er 0.138 0.500 0.294 1
Er3 Er 0.191 0.252 0.591 1
Er4 Er 0.196 0.259 0.072 1
# Offset from the most stable computed form, kJ/mol of atoms: 16.3

[5]
# AcHo4Er | the Alexandria database | GGA-PBE | optimized geometry
data_AcHo4Er
_cell_length_a 3.605
_cell_length_b 3.605
_cell_length_c 15.239
_cell_angle_alpha 90.00
_cell_angle_beta 90.00
_cell_angle_gamma 90.00
_space_group_name_H-M_alt 'P 4/m m m'
_space_group_IT_number 123
_space_group_name_Hall '-P 4 2'
loop_
_atom_site_label
_atom_site_type_symbol
_atom_site_fract_x
_atom_site_fract_y
_atom_site_fract_z
_atom_site_occupancy
Ac1 Ac 0.000 0.000 0.000 1
Ho1 Ho 0.000 0.000 0.340 1
Ho2 Ho 0.500 0.500 0.181 1
Er1 Er 0.500 0.500 0.500 1
# Offset from the most stable computed form, kJ/mol of atoms: 0.0

[6]
# AcHo7Er12 | the Alexandria database | GGA-PBE | optimized geometry
data_AcHo7Er12
_cell_length_a 11.258
_cell_length_b 11.258
_cell_length_c 11.258
_cell_angle_alpha 90.00
_cell_angle_beta 90.00
_cell_angle_gamma 90.00
_space_group_name_H-M_alt 'I m -3'
_space_group_IT_number 204
_space_group_name_Hall '-I 2 2 3'
loop_
_atom_site_label
_atom_site_type_symbol
_atom_site_fract_x
_atom_site_fract_y
_atom_site_fract_z
_atom_site_occupancy
Ac1 Ac 0.000 0.000 0.000 1
Ho1 Ho 0.000 0.000 0.500 1
Ho2 Ho 0.250 0.250 0.250 1
Er1 Er 0.000 0.265 0.264 1
# Offset from the most stable computed form, kJ/mol of atoms: 44.2

Number 1: formation enthalpy at 0 K 0.3180 eV per atom, volume 33.3 Å³ per atom. Number 2: formation enthalpy at 0 K 0.1898 eV per atom, volume 34.5 Å³ per atom. Number 3: formation enthalpy at 0 K 0.1398 eV per atom, volume 34.4 Å³ per atom. Number 4: formation enthalpy at 0 K 0.3761 eV per atom, volume 35.4 Å³ per atom. Number 5: formation enthalpy at 0 K 0.0560 eV per atom, volume 33.0 Å³ per atom. Number 6: formation enthalpy at 0 K 0.6989 eV per atom, volume 35.7 Å³ per atom.